This record from the Alexandria database describes a relaxed structure of ZrCr2Tc. The functional is PBE-GGA.

The structure belongs to space group Pm (No. 6); the cell edges are 2.836, 4.162 and 5.150 Å and the angles 90.00°, 100.59° and 90.00°. The asymmetric unit holds Zr at (0.000, 0.000, 0.000), Cr at (0.507, 0.000, 0.490), Cr at (0.740, 0.500, 0.273) and Tc at (0.250, 0.500, 0.716).

The value obtained for the formation energy is 159 meV/atom. The polymorph energy (0 for the lowest one) comes out at 93 meV/atom.



This record from the Alexandria database describes a relaxed structure of FeMo2RhN. The functional is PBE-GGA.

The structure belongs to space group P4/mmm (No. 123); the cell edges are 4.097, 4.097 and 3.810 Å and the angles 90.00°, 90.00° and 90.00°. The asymmetric unit holds Fe at (0.000, 0.000, 0.000), Mo at (0.000, 0.500, 0.500), Rh at (0.500, 0.500, 0.000) and N at (0.000, 0.000, 0.500).

The uncorrected formation energy comes out at -131 meV per atom.



This record from the Alexandria database describes a relaxed structure of Mg7Cd2In. The functional is PBE-GGA.

The structure belongs to space group P3m1 (No. 156); the cell edges are 4.8855, 4.8855 and 11.7792 Å and the angles 90.00°, 90.00° and 120.00°. The asymmetric unit holds Mg at (0.0000, 0.0000, 0.0000), Mg at (0.0000, 0.0000, 0.2561), Mg at (0.0000, 0.0000, 0.5215), Mg at (0.3333, 0.6667, 0.1437), Mg at (0.3333, 0.6667, 0.6832), Mg at (0.6667, 0.3333, 0.3639), Mg at (0.6667, 0.3333, 0.8443), Cd at (0.0000, 0.0000, 0.7615), Cd at (0.6667, 0.3333, 0.1017) and In at (0.3333, 0.6667, 0.4190).

The value obtained for the formation energy is -12 meV/atom.



This record from the Alexandria database describes a relaxed structure of Ag2PO. The functional is PBE-GGA.

The structure belongs to space group I-42d (No. 122); the cell edges are 6.043, 6.043 and 7.453 Å and the angles 90.00°, 90.00° and 90.00°. The asymmetric unit holds Ag at (0.222, 0.250, 0.125), P at (0.000, 0.000, 0.500) and O at (0.000, 0.000, 0.000).

The uncorrected formation energy comes out at 268 meV per atom. The polymorph energy (0 for the lowest one) comes out at 0 meV/atom.



Number 1: DOS at the Fermi energy 2.968 states/eV/cell. Number 2: DOS at the Fermi energy 5.670 states/eV/cell. Number 3: DOS at the Fermi energy 3.425 states/eV/cell. Number 4: DOS at the Fermi energy 2.821 states/eV/cell.